(a)
Compound: La2ZrTc2
Source: Alexandria via LeMat-Bulk
Functional: PBE-GGA
Structure: optimized geometry

Cell lengths 7.0355, 7.0355, 4.9353 Å; angles 90.00, 90.00, 90.00 degrees
With the nearest neighbours (Å) after each atom.
Positions (direct):
La 0.1785 0.3215 0.0000  6 Tc 3.18-3.27, 1 La 3.55
La 0.3215 0.8215 0.0000  6 Tc 3.18-3.27, 1 La 3.55
La 0.6785 0.1785 0.0000  6 Tc 3.18-3.27, 1 La 3.55
La 0.8215 0.6785 0.0000  6 Tc 3.18-3.27, 1 La 3.55
Zr 0.0000 0.0000 0.5000  4 Tc 2.80
Zr 0.5000 0.5000 0.5000  4 Tc 2.80
Tc 0.1203 0.6203 0.5000  1 Tc 2.39
Tc 0.3797 0.1203 0.5000  1 Tc 2.39
Tc 0.6203 0.8797 0.5000  1 Tc 2.39
Tc 0.8797 0.3797 0.5000  1 Tc 2.39

Summary:
For the total magnetization, the calculation gives 0.000 Bohr magnetons per cell. Its space group is P4/mbm (127).


(b)
Compound: La2ZrTc2
Source: Alexandria via LeMat-Bulk
Functional: PBE-GGA
Structure: optimized geometry

Cell lengths 6.9864, 6.9864, 6.9864 Å; angles 143.07, 143.07, 53.23 degrees
With the nearest neighbours (Å) after each atom.
Positions (direct):
La 0.2500 0.7500 0.5000  4 Tc 2.98, 4 La 3.13
La 0.7500 0.2500 0.5000  4 Tc 2.98, 4 La 3.13
Zr 0.0000 0.0000 0.0000  8 Tc 3.33
Tc 0.4096 0.4096 0.0000  1 Tc 2.26
Tc 0.5904 0.5904 0.0000  1 Tc 2.26

Summary:
For the total magnetization, the calculation gives 0.000 Bohr magnetons per cell. Its space group is I4/mmm (139).


The energy of each structure relative to the most stable one, in meV per atom, is as follows: (a) 0; (b) 505.